1.
# TlTeAs2, relaxed, DFT GGA-PBE
# ρ (Mg/m³): 7.43
# Uncorrected formation energy (meV per atom): 203
# ΔE to the lowest computed polymorph (meV per atom): 189
data_TlTeAs2
_symmetry_space_group_name_H-M 'C m m 2'
_symmetry_Int_Tables_number 35
_symmetry_space_group_name_Hall 'C 2 -2'
_cell_length_a 3.699
_cell_length_b 5.326
_cell_length_c 10.930
_cell_angle_alpha 90.00
_cell_angle_beta 90.00
_cell_angle_gamma 90.00
loop_
_atom_site_label
_atom_site_type_symbol
_atom_site_fract_x
_atom_site_fract_y
_atom_site_fract_z
_atom_site_occupancy
Tl1 Tl 0.000 0.000 0.000 1
Te1 Te 0.000 0.500 0.264 1
As1 As 0.000 0.000 0.559 1
As2 As 0.000 0.500 0.717 1

---

2.
# Pm4Al2Ru, relaxed, DFT GGA-PBE
# ρ (Mg/m³): 5.66
# Energy of formation (eV/f.u.): 0.03
data_Pm4Al2Ru
_symmetry_space_group_name_H-M 'I 4/m m m'
_symmetry_Int_Tables_number 139
_symmetry_space_group_name_Hall '-I 4 2'
_cell_length_a 5.347
_cell_length_b 5.347
_cell_length_c 15.082
_cell_angle_alpha 90.00
_cell_angle_beta 90.00
_cell_angle_gamma 90.00
loop_
_atom_site_label
_atom_site_type_symbol
_atom_site_fract_x
_atom_site_fract_y
_atom_site_fract_z
_atom_site_occupancy
Pm1 Pm 0.000 0.000 0.183 1
Pm2 Pm 0.000 0.500 0.000 1
Al1 Al 0.000 0.000 0.383 1
Ru1 Ru 0.000 0.000 0.000 1

---

3.
# BeAgNO2, relaxed, DFT GGA-PBE
# ρ (Mg/m³): 5.84
# Uncorrected formation energy (meV per atom): 343
data_BeAgNO2
_symmetry_space_group_name_H-M 'P 4/m m m'
_symmetry_Int_Tables_number 123
_symmetry_space_group_name_Hall '-P 4 2'
_cell_length_a 3.482
_cell_length_b 3.482
_cell_length_c 3.817
_cell_angle_alpha 90.00
_cell_angle_beta 90.00
_cell_angle_gamma 90.00
loop_
_atom_site_label
_atom_site_type_symbol
_atom_site_fract_x
_atom_site_fract_y
_atom_site_fract_z
_atom_site_occupancy
Be1 Be 0.000 0.000 0.000 1
Ag1 Ag 0.500 0.500 0.500 1
N1 N 0.000 0.000 0.500 1
O1 O 0.000 0.500 0.000 1

---

4.
# Ce3Ge13Os4, relaxed, DFT GGA-PBE
# ρ (Mg/m³): 9.34
# Energy of formation (eV/f.u.): -7.12
data_Ce3Ge13Os4
_symmetry_space_group_name_H-M 'P m -3 n'
_symmetry_Int_Tables_number 223
_symmetry_space_group_name_Hall '-P 4n 2 3'
_cell_length_a 9.108
_cell_length_b 9.108
_cell_length_c 9.108
_cell_angle_alpha 90.00
_cell_angle_beta 90.00
_cell_angle_gamma 90.00
loop_
_atom_site_label
_atom_site_type_symbol
_atom_site_fract_x
_atom_site_fract_y
_atom_site_fract_z
_atom_site_occupancy
Ce1 Ce 0.000 0.250 0.500 1
Ge1 Ge 0.000 0.000 0.000 1
Ge2 Ge 0.000 0.303 0.147 1
Os1 Os 0.250 0.250 0.250 1

---

5.
# NaCeCu2F8, relaxed, DFT GGA-PBE
# ρ (Mg/m³): 4.47
# Uncorrected formation energy (meV per atom): -2601
data_NaCeCu2F8
_symmetry_space_group_name_H-M 'I -4'
_symmetry_Int_Tables_number 82
_symmetry_space_group_name_Hall 'I -4'
_cell_length_a 5.505
_cell_length_b 5.505
_cell_length_c 10.853
_cell_angle_alpha 90.00
_cell_angle_beta 90.00
_cell_angle_gamma 90.00
loop_
_atom_site_label
_atom_site_type_symbol
_atom_site_fract_x
_atom_site_fract_y
_atom_site_fract_z
_atom_site_occupancy
Na1 Na 0.000 0.000 0.000 1
Ce1 Ce 0.000 0.500 0.250 1
Cu1 Cu 0.000 0.000 0.500 1
Cu2 Cu 0.000 0.500 0.750 1
F1 F 0.148 0.290 0.421 1
F2 F 0.173 0.784 0.818 1

---

6.
# SrBePt3, relaxed, DFT GGA-PBE
# ρ (Mg/m³): 6.73
# Energy of formation (eV/f.u.): -0.25
# ΔE to the lowest computed polymorph (meV per atom): 694
data_SrBePt3
_symmetry_space_group_name_H-M 'C m c m'
_symmetry_Int_Tables_number 63
_symmetry_space_group_name_Hall '-C 2c 2'
_cell_length_a 6.781
_cell_length_b 20.529
_cell_length_c 4.836
_cell_angle_alpha 90.00
_cell_angle_beta 90.00
_cell_angle_gamma 90.00
loop_
_atom_site_label
_atom_site_type_symbol
_atom_site_fract_x
_atom_site_fract_y
_atom_site_fract_z
_atom_site_occupancy
Sr1 Sr 0.000 0.135 0.250 1
Be1 Be 0.000 0.278 0.250 1
Pt1 Pt 0.000 0.000 0.000 1
Pt2 Pt 0.188 0.250 0.750 1